Co2PbBr: optimized geometry, PBE.

Values from the calculation:
ΔE to the lowest computed polymorph (eV per atom): 0.166
Formation energy from raw total energies (eV per atom): 0.4326
DOS(E_F) (states/eV per cell): 3.6

Lattice parameters (Å, degrees): 3.319 3.988 6.310 90.00 90.00 90.00
Fractional coordinates of all 4 atoms:
Co 0.000 0.000 0.176
Co 0.000 0.000 0.824
Pb 0.500 0.500 0.000
Br 0.500 0.000 0.500